# 1
The following is a PBE calculation of a geometry-optimized TaAgCl2 structure, from Alexandria via LeMat-Bulk.

Results
SG ... P2/m (10)
Formation energy without anion corrections ... 47.4 meV/atom
VASP energy ... -4.55 eV/atom
Offset from the most stable computed form ... 2.017 eV per formula unit

Cell lengths 3.0555, 4.2749, 5.9086 Å; angles 90.00, 90.11, 90.00 degrees
Element x y z (fractional)
Ta (0.0000, 0.0000, 0.0000)
Ag (0.5000, 0.0000, 0.5000)
Cl (0.0852, 0.5000, 0.2313)
Cl (0.9148, 0.5000, 0.7687)



# 2
The following is a PBE calculation of a geometry-optimized TaAgCl6 structure, from Alexandria via LeMat-Bulk.

Results
SG ... C2/m (12)
Formation energy without anion corrections ... -1088.4 meV/atom
VASP energy ... -4.31 eV/atom
Offset from the most stable computed form ... 0.091 eV per formula unit

Cell lengths 6.8382, 6.8382, 6.4513 Å; angles 98.42, 98.42, 122.62 degrees
Element x y z (fractional)
Ta (0.0000, 0.0000, 0.0000)
Ag (0.5000, 0.5000, 0.5000)
Cl (0.0678, 0.3515, 0.2260)
Cl (0.2342, 0.2342, 0.7864)
Cl (0.3515, 0.0678, 0.2260)
Cl (0.6485, 0.9322, 0.7740)
Cl (0.7658, 0.7658, 0.2136)
Cl (0.9322, 0.6485, 0.7740)



# 3
The following is a PBE calculation of a geometry-optimized TaAgCl2 structure, from Alexandria via LeMat-Bulk.

Results
SG ... Imm2 (44)
Formation energy without anion corrections ... -32.6 meV/atom
VASP energy ... -4.63 eV/atom
Offset from the most stable computed form ... 1.697 eV per formula unit

Cell lengths 7.3472, 7.3472, 7.3472 Å; angles 156.61, 144.10, 43.29 degrees
Element x y z (fractional)
Ta (0.0000, 0.0000, 0.0000)
Ag (0.1824, 0.6824, 0.5000)
Cl (0.5184, 0.5184, 0.0000)
Cl (0.8514, 0.3514, 0.5000)



# 4
The following is a PBE calculation of a geometry-optimized TaAg2Cl2 structure, from Alexandria via LeMat-Bulk.

Results
SG ... I4/mmm (139)
Formation energy without anion corrections ... 807.5 meV/atom
VASP energy ... -3.44 eV/atom
Offset from the most stable computed form ... 0.190 eV per formula unit

Cell lengths 6.5970, 6.5970, 6.5970 Å; angles 142.16, 142.16, 54.58 degrees
Element x y z (fractional)
Ta (0.0000, 0.0000, 0.0000)
Ag (0.3891, 0.3891, 0.0000)
Ag (0.6109, 0.6109, 0.0000)
Cl (0.2500, 0.7500, 0.5000)
Cl (0.7500, 0.2500, 0.5000)



# 5
The following is a PBE calculation of a geometry-optimized TaAgCl2 structure, from Alexandria via LeMat-Bulk.

Results
SG ... F-43m (216)
Formation energy without anion corrections ... 747.5 meV/atom
VASP energy ... -3.85 eV/atom
Offset from the most stable computed form ... 4.817 eV per formula unit

Cell lengths 4.7812, 4.7812, 4.7812 Å; angles 60.00, 60.00, 60.00 degrees
Element x y z (fractional)
Ta (0.0000, 0.0000, 0.0000)
Ag (0.2500, 0.2500, 0.2500)
Cl (0.5000, 0.5000, 0.5000)
Cl (0.7500, 0.7500, 0.7500)



# 6
The following is a PBE calculation of a geometry-optimized TaAgCl2 structure, from Alexandria via LeMat-Bulk.

Results
SG ... I-4m2 (119)
Formation energy without anion corrections ... 569.5 meV/atom
VASP energy ... -4.03 eV/atom
Offset from the most stable computed form ... 4.106 eV per formula unit

Cell lengths 6.0535, 6.0535, 6.0535 Å; angles 144.41, 144.41, 51.22 degrees
Element x y z (fractional)
Ta (0.0000, 0.0000, 0.0000)
Ag (0.2500, 0.7500, 0.5000)
Cl (0.5000, 0.5000, 0.0000)
Cl (0.7500, 0.2500, 0.5000)



# 7
The following is a PBE calculation of a geometry-optimized Ta3AgCl structure, from Alexandria via LeMat-Bulk.

Results
SG ... Pm-3m (221)
Formation energy without anion corrections ... 998.0 meV/atom
VASP energy ... -7.05 eV/atom
Offset from the most stable computed form ... 0.000 eV per formula unit

Cell lengths 4.5402, 4.5402, 4.5402 Å; angles 90.00, 90.00, 90.00 degrees
Element x y z (fractional)
Ta (0.0000, 0.0000, 0.5000)
Ta (0.0000, 0.5000, 0.0000)
Ta (0.5000, 0.0000, 0.0000)
Ag (0.5000, 0.5000, 0.5000)
Cl (0.0000, 0.0000, 0.0000)



# 8
The following is a PBE calculation of a geometry-optimized TaAgCl2 structure, from Alexandria via LeMat-Bulk.

Results
SG ... P4/mmm (123)
Formation energy without anion corrections ... 500.7 meV/atom
VASP energy ... -4.10 eV/atom
Offset from the most stable computed form ... 3.830 eV per formula unit

Cell lengths 4.8833, 4.8833, 3.1358 Å; angles 90.00, 90.00, 90.00 degrees
Element x y z (fractional)
Ta (0.0000, 0.0000, 0.0000)
Ag (0.5000, 0.5000, 0.0000)
Cl (0.0000, 0.5000, 0.5000)
Cl (0.5000, 0.0000, 0.5000)



Number 6 is which compound?
TaAgCl2